[1]
# AcPm2OsC2

An optimized crystal structure of AcPm2OsC2 (PBE-GGA, Alexandria).

a = 4.007 Å, b = 5.895 Å, c = 11.455 Å
α = 90.00°, β = 90.00°, γ = 90.00°
Atoms (fractional coordinates):
Os 0.500 0.500 0.500
Os 0.000 0.000 0.000
Ac 0.000 0.000 0.500
Pm 0.000 0.484 0.702
C 0.000 0.765 0.878
Ac 0.500 0.500 0.000
Pm 0.000 0.516 0.298
C 0.500 0.265 0.622
C 0.000 0.235 0.122
Pm 0.500 0.984 0.798
C 0.500 0.735 0.378
Pm 0.500 0.016 0.202

space group: Pnnm (58)
total magnetization: 0.000 μB/atom
energy of formation from the pure elements: -41 meV per atom
total energy: -7.256 eV per atom

[2]
# AcPr2OsC2

An optimized crystal structure of AcPr2OsC2 (PBE-GGA, Alexandria).

a = 4.054 Å, b = 5.925 Å, c = 11.629 Å
α = 90.00°, β = 90.00°, γ = 90.00°
Atoms (fractional coordinates):
Ac 0.500 0.500 0.000
Pr 0.000 0.519 0.297
Os 0.500 0.500 0.500
C 0.000 0.763 0.883
C 0.500 0.737 0.383
Pr 0.000 0.481 0.703
C 0.500 0.263 0.617
Os 0.000 0.000 0.000
Pr 0.500 0.019 0.203
Pr 0.500 0.981 0.797
Ac 0.000 0.000 0.500
C 0.000 0.237 0.117

space group: Pnnm (58)
total magnetization: 0.000 μB/atom
energy of formation from the pure elements: 12 meV per atom
total energy: -7.213 eV per atom

[3]
# Ac2Si2Os2C

An optimized crystal structure of Ac2Si2Os2C (PBE-GGA, Alexandria).

a = 4.214 Å, b = 6.154 Å, c = 6.466 Å
α = 71.77°, β = 70.98°, γ = 69.98°
Atoms (fractional coordinates):
C 0.000 0.000 0.000
Os 0.808 0.301 0.083
Os 0.192 0.699 0.917
Ac 0.440 0.809 0.311
Ac 0.560 0.191 0.689
Si 0.813 0.624 0.750
Si 0.187 0.376 0.250

space group: C2/m (12)
total magnetization: 0.000 μB/atom
total energy: -7.806 eV per atom
energy relative to the elements, uncorrected: -0.556 eV/atom

What is the total magnetization in the third record? 0.000 μB/atom